[1]
ZnCu2Tc: optimized geometry, PBE.

Values from the calculation:
E: -4.78 eV/atom
Size of the total moment: 0.29 μB/f.u.
Symmetry: Imm2
Formation energy: 173 meV per atom

Lattice parameters (Å, degrees): 5.1984 5.1984 5.1984 150.98 128.40 60.29
Closest atoms and distances in Å follow each position.
Element x y z (fractional)
Tc1 0.4976 0.4976 0.0000  2 Tc 2.60, 6 Cu 2.61-2.67, 2 Zn 2.71
Cu1 0.2380 0.7380 0.5000  4 Cu 2.49-2.60, 4 Zn 2.62, 2 Tc 2.67
Cu2 0.0021 0.0021 0.0000  4 Cu 2.49-2.60, 2 Zn 2.52, 4 Tc 2.61
Zn1 0.7623 0.2623 0.5000  6 Cu 2.52-2.62, 2 Zn 2.60, 2 Tc 2.71


[2]
LaTmTl3: optimized geometry, PBE.

Values from the calculation:
E: -3.57 eV/atom
Size of the total moment: 0.00 μB/f.u.
Symmetry: C2/m
Formation energy: -267 meV per atom

Lattice parameters (Å, degrees): 6.5328 5.1819 10.4755 104.32 117.62 90.00
Closest atoms and distances in Å follow each position.
Element x y z (fractional)
La1 0.1340 0.4101 0.8202  6 Tl 3.27-3.43
La2 0.8660 0.5899 0.1798  6 Tl 3.27-3.43
Tl1 0.2845 0.0231 0.0462  4 Tl 3.12-3.37, 2 La 3.28, 1 Tm 3.34
Tl2 0.0867 0.2155 0.4311  4 Tm 3.24-3.30, 3 Tl 3.39-3.40, 2 La 3.43
Tl3 0.9133 0.7845 0.5689  4 Tm 3.24-3.30, 3 Tl 3.39-3.40, 2 La 3.43
Tl4 0.5952 0.3796 0.7592  3 Tm 3.06-3.41, 3 Tl 3.12-3.40, 2 La 3.27-3.35
Tl5 0.4048 0.6204 0.2408  3 Tm 3.06-3.41, 3 Tl 3.12-3.40, 2 La 3.27-3.35
Tl6 0.7155 0.9769 0.9538  4 Tl 3.12-3.37, 2 La 3.28, 1 Tm 3.34
Tm1 0.4164 0.7899 0.5798  8 Tl 3.06-3.41
Tm2 0.5836 0.2101 0.4202  8 Tl 3.06-3.41


[3]
Cd2AsPt: optimized geometry, PBE.

Values from the calculation:
E: -3.31 eV/atom
Size of the total moment: 0.00 μB/f.u.
Symmetry: Imm2
Formation energy: -180 meV per atom

Lattice parameters (Å, degrees): 6.5710 6.5710 4.7310 68.88 68.88 26.03
Closest atoms and distances in Å follow each position.
Element x y z (fractional)
Pt1 0.4842 0.4842 0.5153  2 As 2.58, 4 Cd 2.81
As1 0.8065 0.8065 0.6940  2 Pt 2.58
Cd1 0.0124 0.0124 0.9872  4 Pt 2.81, 2 Cd 2.96
Cd2 0.1969 0.1969 0.3035  2 Pt 2.93, 4 Cd 2.96-3.23, 4 As 3.08


[4]
CePr7Pb4: optimized geometry, PBE.

Values from the calculation:
E: -4.67 eV/atom
Size of the total moment: 2.37 μB/f.u.
Symmetry: C2/m
Formation energy: -155 meV per atom

Lattice parameters (Å, degrees): 5.6950 9.8618 8.2836 80.18 69.89 73.22
Closest atoms and distances in Å follow each position.
Element x y z (fractional)
Ce1 0.0000 0.0000 0.0000  2 Pr 2.85
Pb1 0.5775 0.2190 0.6260  8 Pr 3.22-3.48
Pb2 0.7091 0.6645 0.9173  8 Pr 3.27-3.48
Pb3 0.4225 0.7810 0.3740  8 Pr 3.22-3.48
Pb4 0.2909 0.3355 0.0827  8 Pr 3.27-3.48
Pr1 0.7858 0.8702 0.5583  4 Pb 3.27-3.38, 1 Pr 3.65
Pr2 0.9229 0.3284 0.8257  1 Ce 3.28, 5 Pb 3.31-3.48, 1 Pr 3.65
Pr3 0.6477 0.4271 0.2775  5 Pb 3.22-3.48
Pr4 0.3523 0.5729 0.7225  5 Pb 3.22-3.48
Pr5 0.0771 0.6716 0.1743  1 Ce 3.28, 5 Pb 3.31-3.48, 1 Pr 3.65
Pr6 0.5000 0.0000 0.0000  2 Ce 2.85
Pr7 0.2142 0.1298 0.4417  4 Pb 3.27-3.38, 1 Pr 3.65


[5]
Ac4SiRuBr2: optimized geometry, PBE.

Values from the calculation:
E: -5.24 eV/atom
Size of the total moment: 0.00 μB/f.u.
Symmetry: P2/m
E_form (uncorrected): -0.931 eV per atom

Lattice parameters (Å, degrees): 4.3809 7.8820 8.3788 106.35 90.00 90.00
Closest atoms and distances in Å follow each position.
Element x y z (fractional)
Si1 0.0000 0.0000 0.0000  6 Ac 3.11
Ac1 0.5000 0.7463 0.8029  1 Ru 2.88, 2 Si 3.11
Ac2 0.0000 0.2786 0.8003  2 Ru 3.00, 1 Si 3.11
Ac3 0.0000 0.7214 0.1997  2 Ru 3.00, 1 Si 3.11
Ac4 0.5000 0.2537 0.1971  1 Ru 2.88, 2 Si 3.11
Br1 0.5000 0.0000 0.5000  6 Ac 3.58-3.65
Br2 0.0000 0.5000 0.5000  6 Ac 3.44-3.50
Ru1 0.5000 0.5000 0.0000  6 Ac 2.88-3.00


[6]
In3HgRh4: optimized geometry, PBE.

Values from the calculation:
E: -5.04 eV/atom
Size of the total moment: 0.00 μB/f.u.
Symmetry: P4/mmm
Formation energy: -304 meV per atom

Lattice parameters (Å, degrees): 4.5715 6.5119 9.1425 90.00 90.00 90.00
Closest atoms and distances in Å follow each position.
Element x y z (fractional)
Rh1 0.5000 0.2444 0.0000  6 In 2.79-2.83, 2 Hg 2.83
Rh2 0.0003 0.2444 0.2500  6 In 2.78-2.83, 2 Hg 2.83
Rh3 0.5000 0.7556 0.0000  6 In 2.79-2.83, 2 Hg 2.83
Rh4 0.9997 0.7556 0.7500  6 In 2.78-2.83, 2 Hg 2.83
Rh5 0.0003 0.7556 0.2500  6 In 2.78-2.83, 2 Hg 2.83
Rh6 0.5000 0.2444 0.5000  6 In 2.79-2.83, 2 Hg 2.83
Rh7 0.9997 0.2444 0.7500  6 In 2.78-2.83, 2 Hg 2.83
Rh8 0.5000 0.7556 0.5000  6 In 2.79-2.83, 2 Hg 2.83
In1 0.4997 0.5000 0.7500  8 Rh 2.83
In2 0.5003 0.5000 0.2500  8 Rh 2.83
In3 0.0000 0.0000 0.0000  8 Rh 2.79
In4 0.0000 0.0000 0.5000  8 Rh 2.79
In5 0.4997 0.0000 0.7500  8 Rh 2.78-2.79
In6 0.5003 0.0000 0.2500  8 Rh 2.78-2.79
Hg1 0.0000 0.5000 0.5000  8 Rh 2.83
Hg2 0.0000 0.5000 0.0000  8 Rh 2.83


[7]
MnGaS2: optimized geometry, PBE.

Values from the calculation:
E: -5.35 eV/atom
Size of the total moment: 0.83 μB/f.u.
Offset from the most stable computed form: 182 meV per atom
Symmetry: I-42d
E_form (uncorrected): -0.241 eV per atom

Lattice parameters (Å, degrees): 5.3393 5.3393 6.4652 65.61 65.61 90.00
Closest atoms and distances in Å follow each position.
Element x y z (fractional)
S1 0.5837 0.1250 0.2500  2 Mn 2.18, 2 Ga 2.43
S2 0.1663 0.6250 0.2500  2 Mn 2.18, 2 Ga 2.43
S3 0.8750 0.8337 0.7500  2 Mn 2.18, 2 Ga 2.43
S4 0.3750 0.4163 0.7500  2 Mn 2.18, 2 Ga 2.43
Ga1 0.0000 0.0000 0.0000  4 S 2.43
Ga2 0.7500 0.2500 0.5000  4 S 2.43
Mn1 0.2500 0.7500 0.5000  4 S 2.18
Mn2 0.5000 0.5000 0.0000  4 S 2.18


[8]
Dy2HoZr: optimized geometry, PBE.

Values from the calculation:
E: -5.51 eV/atom
Size of the total moment: 0.00 μB/f.u.
Offset from the most stable computed form: 0 meV per atom
Symmetry: R3m
Formation energy: 75 meV per atom

Lattice parameters (Å, degrees): 3.4561 3.4561 11.3321 81.23 81.23 60.00
Closest atoms and distances in Å follow each position.
Element x y z (fractional)
Ho1 0.5001 0.5001 0.4997  6 Ho 3.46, 6 Dy 3.54-3.55
Zr1 0.6666 0.6666 0.0001  6 Dy 3.31, 6 Zr 3.46
Dy1 0.2543 0.2543 0.2370  3 Zr 3.31, 6 Dy 3.46, 3 Ho 3.54
Dy2 0.0789 0.0789 0.7632  3 Zr 3.31, 6 Dy 3.46, 3 Ho 3.55


[9]
HfBeZnBi2: optimized geometry, PBE.

Values from the calculation:
E: -3.58 eV/atom
Size of the total moment: 0.00 μB/f.u.
Symmetry: P4/mmm
Formation energy: 959 meV per atom

Lattice parameters (Å, degrees): 5.5906 5.3619 5.5906 90.00 90.00 90.00
Closest atoms and distances in Å follow each position.
Element x y z (fractional)
Hf1 0.0000 0.0000 0.0000  2 Zn 2.68, 4 Bi 2.80
Bi1 0.0000 0.0000 0.5000  2 Hf 2.80
Bi2 0.5000 0.0000 0.0000  2 Hf 2.80
Zn1 0.0000 0.5000 0.0000  2 Hf 2.68
Be1 0.5000 0.5000 0.5000  8 Bi 3.87, 4 Zn 3.95


[10]
NdPbO4: optimized geometry, PBE.

Values from the calculation:
E: -6.33 eV/atom
Size of the total moment: 1.04 μB/f.u.
Symmetry: P4/mmm
E_form (uncorrected): -1.616 eV per atom

Lattice parameters (Å, degrees): 3.8913 3.8913 5.6324 90.00 90.00 90.00
Closest atoms and distances in Å follow each position.
Element x y z (fractional)
O1 0.0000 0.5000 0.7362  2 Pb 2.36, 2 Nd 2.45
O2 0.5000 0.0000 0.7362  2 Pb 2.36, 2 Nd 2.45
O3 0.5000 0.0000 0.2638  2 Pb 2.36, 2 Nd 2.45
O4 0.0000 0.5000 0.2638  2 Pb 2.36, 2 Nd 2.45
Nd1 0.0000 0.0000 0.0000  8 O 2.45
Pb1 0.5000 0.5000 0.5000  8 O 2.36


[11]
KCrGa2Cl8: optimized geometry, PBE.

Values from the calculation:
E: -3.75 eV/atom
Size of the total moment: 5.00 μB/f.u.
Symmetry: R-3
E_form (uncorrected): -1.120 eV per atom

Lattice parameters (Å, degrees): 6.4508 6.4508 10.1287 71.43 71.43 60.00
Closest atoms and distances in Å follow each position.
Element x y z (fractional)
Cr1 0.0000 0.0000 0.0000  6 Cl 2.67
Ga1 0.2527 0.2527 0.2419  4 Cl 2.22-2.23
Ga2 0.7473 0.7473 0.7581  4 Cl 2.22-2.23
Cl1 0.6086 0.2718 0.1689  1 Ga 2.23
Cl2 0.3914 0.7282 0.8311  1 Ga 2.23
Cl3 0.2718 0.9507 0.1689  1 Ga 2.23
Cl4 0.0493 0.3914 0.8311  1 Ga 2.23
Cl5 0.9507 0.6086 0.1689  1 Ga 2.23
Cl6 0.8257 0.8257 0.5229  1 Ga 2.22
Cl7 0.7282 0.0493 0.8311  1 Ga 2.23
Cl8 0.1743 0.1743 0.4771  1 Ga 2.22
K1 0.5000 0.5000 0.5000  12 Cl 3.73-3.81


[12]
LiLa2TlNi: optimized geometry, PBE.

Values from the calculation:
E: -4.18 eV/atom
Size of the total moment: 0.00 μB/f.u.
Offset from the most stable computed form: 0 meV per atom
Symmetry: P4/mmm
Formation energy: -200 meV per atom

Lattice parameters (Å, degrees): 5.3860 5.3860 4.7625 90.00 90.00 90.00
Closest atoms and distances in Å follow each position.
Element x y z (fractional)
La1 0.0000 0.5000 0.0000  2 Ni 2.69
La2 0.5000 0.0000 0.0000  2 Ni 2.69
Ni1 0.0000 0.0000 0.0000  2 Li 2.38
Li1 0.0000 0.0000 0.5000  2 Ni 2.38
Tl1 0.5000 0.5000 0.5000  8 La 3.59, 4 Li 3.81